LuIr2Au: optimized geometry, PBE.

Properties
As for the space group: F-43m, No. 216. The calculation puts the energy relative to the elements at -0.17 eV/atom.

a = 6.5514 Å, b = 6.5514 Å, c = 6.5514 Å
α = 90.00°, β = 90.00°, γ = 90.00°
Last column: nearest neighbours and their distance in Å.
Element x y z (fractional)
1 Lu 0.0000 0.0000 0.0000  4 Ir 2.84, 4 Au 2.84
2 Lu 0.0000 0.5000 0.5000  4 Ir 2.84, 4 Au 2.84
3 Lu 0.5000 0.0000 0.5000  4 Ir 2.84, 4 Au 2.84
4 Lu 0.5000 0.5000 0.0000  4 Ir 2.84, 4 Au 2.84
5 Ir 0.0000 0.0000 0.5000  4 Ir 2.84, 4 Au 2.84
6 Ir 0.0000 0.5000 0.0000  4 Ir 2.84, 4 Au 2.84
7 Ir 0.2500 0.2500 0.2500  4 Ir 2.84, 4 Lu 2.84
8 Ir 0.2500 0.7500 0.7500  4 Ir 2.84, 4 Lu 2.84
9 Ir 0.5000 0.0000 0.0000  4 Ir 2.84, 4 Au 2.84
10 Ir 0.5000 0.5000 0.5000  4 Ir 2.84, 4 Au 2.84
11 Ir 0.7500 0.2500 0.7500  4 Ir 2.84, 4 Lu 2.84
12 Ir 0.7500 0.7500 0.2500  4 Ir 2.84, 4 Lu 2.84
13 Au 0.2500 0.2500 0.7500  4 Ir 2.84, 4 Lu 2.84
14 Au 0.2500 0.7500 0.2500  4 Ir 2.84, 4 Lu 2.84
15 Au 0.7500 0.2500 0.2500  4 Ir 2.84, 4 Lu 2.84
16 Au 0.7500 0.7500 0.7500  4 Ir 2.84, 4 Lu 2.84

=====

Lu2IrAu: optimized geometry, PBE.

Properties
As for the space group: F-43m, No. 216. The calculation puts the energy relative to the elements at -0.45 eV/atom.

a = 6.7492 Å, b = 6.7492 Å, c = 6.7492 Å
α = 90.00°, β = 90.00°, γ = 90.00°
Last column: nearest neighbours and their distance in Å.
Element x y z (fractional)
1 Lu 0.0000 0.0000 0.0000  4 Lu 2.92, 4 Au 2.92
2 Lu 0.0000 0.5000 0.5000  4 Lu 2.92, 4 Au 2.92
3 Lu 0.2500 0.2500 0.2500  4 Ir 2.92, 4 Lu 2.92
4 Lu 0.2500 0.7500 0.7500  4 Ir 2.92, 4 Lu 2.92
5 Lu 0.5000 0.0000 0.5000  4 Lu 2.92, 4 Au 2.92
6 Lu 0.5000 0.5000 0.0000  4 Lu 2.92, 4 Au 2.92
7 Lu 0.7500 0.2500 0.7500  4 Ir 2.92, 4 Lu 2.92
8 Lu 0.7500 0.7500 0.2500  4 Ir 2.92, 4 Lu 2.92
9 Ir 0.0000 0.0000 0.5000  4 Lu 2.92, 4 Au 2.92
10 Ir 0.0000 0.5000 0.0000  4 Lu 2.92, 4 Au 2.92
11 Ir 0.5000 0.0000 0.0000  4 Lu 2.92, 4 Au 2.92
12 Ir 0.5000 0.5000 0.5000  4 Lu 2.92, 4 Au 2.92
13 Au 0.2500 0.2500 0.7500  4 Ir 2.92, 4 Lu 2.92
14 Au 0.2500 0.7500 0.2500  4 Ir 2.92, 4 Lu 2.92
15 Au 0.7500 0.2500 0.2500  4 Ir 2.92, 4 Lu 2.92
16 Au 0.7500 0.7500 0.7500  4 Ir 2.92, 4 Lu 2.92

=====

LuIrAu2: optimized geometry, PBE.

Properties
As for the space group: F-43m, No. 216. The calculation puts the energy relative to the elements at -0.40 eV/atom.

a = 6.6414 Å, b = 6.6414 Å, c = 6.6414 Å
α = 90.00°, β = 90.00°, γ = 90.00°
Last column: nearest neighbours and their distance in Å.
Element x y z (fractional)
1 Lu 0.0000 0.0000 0.0000  4 Ir 2.88, 4 Au 2.88
2 Lu 0.0000 0.5000 0.5000  4 Ir 2.88, 4 Au 2.88
3 Lu 0.5000 0.0000 0.5000  4 Ir 2.88, 4 Au 2.88
4 Lu 0.5000 0.5000 0.0000  4 Ir 2.88, 4 Au 2.88
5 Ir 0.2500 0.2500 0.2500  4 Lu 2.88, 4 Au 2.88
6 Ir 0.2500 0.7500 0.7500  4 Au 2.88, 4 Lu 2.88
7 Ir 0.7500 0.2500 0.7500  4 Au 2.88, 4 Lu 2.88
8 Ir 0.7500 0.7500 0.2500  4 Au 2.88, 4 Lu 2.88
9 Au 0.0000 0.0000 0.5000  4 Ir 2.88, 4 Au 2.88
10 Au 0.0000 0.5000 0.0000  4 Ir 2.88, 4 Au 2.88
11 Au 0.2500 0.2500 0.7500  4 Lu 2.88, 4 Au 2.88
12 Au 0.2500 0.7500 0.2500  4 Lu 2.88, 4 Au 2.88
13 Au 0.5000 0.0000 0.0000  4 Ir 2.88, 4 Au 2.88
14 Au 0.5000 0.5000 0.5000  4 Ir 2.88, 4 Au 2.88
15 Au 0.7500 0.2500 0.2500  4 Lu 2.88, 4 Au 2.88
16 Au 0.7500 0.7500 0.7500  4 Lu 2.88, 4 Au 2.88

=====

MgMoIrAu: optimized geometry, PBE.

Properties
As for the space group: F-43m, No. 216. The energy relative to the lowest polymorph listed for this composition comes out at 0 meV per atom.

a = 6.3383 Å, b = 6.3383 Å, c = 6.3383 Å
α = 90.00°, β = 90.00°, γ = 90.00°
Last column: nearest neighbours and their distance in Å.
Element x y z (fractional)
1 Mg 0.0000 0.0000 0.0000  4 Mo 2.74, 4 Au 2.74
2 Mg 0.0000 0.5000 0.5000  4 Mo 2.74, 4 Au 2.74
3 Mg 0.5000 0.0000 0.5000  4 Mo 2.74, 4 Au 2.74
4 Mg 0.5000 0.5000 0.0000  4 Mo 2.74, 4 Au 2.74
5 Mo 0.2500 0.2500 0.7500  4 Mg 2.74, 4 Ir 2.74
6 Mo 0.2500 0.7500 0.2500  4 Mg 2.74, 4 Ir 2.74
7 Mo 0.7500 0.2500 0.2500  4 Mg 2.74, 4 Ir 2.74
8 Mo 0.7500 0.7500 0.7500  4 Mg 2.74, 4 Ir 2.74
9 Ir 0.0000 0.0000 0.5000  4 Mo 2.74, 4 Au 2.74
10 Ir 0.0000 0.5000 0.0000  4 Mo 2.74, 4 Au 2.74
11 Ir 0.5000 0.0000 0.0000  4 Mo 2.74, 4 Au 2.74
12 Ir 0.5000 0.5000 0.5000  4 Mo 2.74, 4 Au 2.74
13 Au 0.2500 0.2500 0.2500  4 Mg 2.74, 4 Ir 2.74
14 Au 0.2500 0.7500 0.7500  4 Mg 2.74, 4 Ir 2.74
15 Au 0.7500 0.2500 0.7500  4 Mg 2.74, 4 Ir 2.74
16 Au 0.7500 0.7500 0.2500  4 Mg 2.74, 4 Ir 2.74

=====

Pr2NdMg3Ir2Au: optimized geometry, PBE.

Properties
As for the space group: Amm2, No. 38. The calculation puts the calculated total energy at -5.052 eV per atom.

a = 4.1157 Å, b = 7.5981 Å, c = 7.5981 Å
α = 119.96°, β = 90.00°, γ = 90.00°
Last column: nearest neighbours and their distance in Å.
Element x y z (fractional)
1 Pr 0.0000 0.2102 0.7898  4 Ir 3.07, 1 Au 3.20, 2 Mg 3.25
2 Pr 0.0000 0.7898 0.2102  4 Ir 3.07, 1 Au 3.20, 2 Mg 3.25
3 Nd 0.0000 0.3699 0.3699  4 Ir 3.06, 1 Au 3.18, 2 Mg 3.24
4 Mg 0.5000 0.0399 0.0399  2 Au 2.81, 2 Ir 2.89
5 Mg 0.5000 0.5401 0.7890  2 Au 2.79, 2 Ir 2.90-2.92
6 Mg 0.5000 0.7890 0.5401  2 Au 2.79, 2 Ir 2.90-2.92
7 Ir 0.5000 0.1248 0.4561  3 Mg 2.89-2.92, 2 Nd 3.06, 4 Pr 3.07
8 Ir 0.5000 0.4561 0.1248  3 Mg 2.89-2.92, 2 Nd 3.06, 4 Pr 3.07
9 Au 0.0000 0.7888 0.7888  6 Mg 2.79-2.81

=====

MgIrAuS3: optimized geometry, PBE.

Properties
As for the space group: Cmcm, No. 63. The calculation puts the calculated total energy at -4.837 eV per atom.

a = 6.7916 Å, b = 6.7916 Å, c = 9.4910 Å
α = 90.00°, β = 90.00°, γ = 148.62°
Last column: nearest neighbours and their distance in Å.
Element x y z (fractional)
1 Mg 0.1806 0.8194 0.7500  4 S 2.47-2.62
2 Mg 0.8194 0.1806 0.2500  4 S 2.47-2.62
3 Ir 0.5000 0.5000 0.0000  6 S 2.41-2.48
4 Ir 0.5000 0.5000 0.5000  6 S 2.41-2.48
5 Au 0.1562 0.8438 0.2500  2 S 2.31
6 Au 0.8438 0.1562 0.7500  2 S 2.31
7 S 0.1184 0.8816 0.0122  1 Au 2.31, 2 Ir 2.41
8 S 0.1184 0.8816 0.4878  1 Au 2.31, 2 Ir 2.41
9 S 0.4456 0.5544 0.2500  2 Mg 2.47, 2 Ir 2.48
10 S 0.5544 0.4456 0.7500  2 Mg 2.47, 2 Ir 2.48
11 S 0.8816 0.1184 0.5122  1 Au 2.31, 2 Ir 2.41
12 S 0.8816 0.1184 0.9878  1 Au 2.31, 2 Ir 2.41